# YThPa2As4 (PBE, relaxed)
data_YThPa2As4
_chemical_formula_sum 'Y1 Th1 Pa2 As4'
_cell_length_a 4.145
_cell_length_b 7.166
_cell_length_c 7.179
_cell_angle_alpha 70.49
_cell_angle_beta 90.00
_cell_angle_gamma 90.00
_symmetry_space_group_name_H-M 'P 1'
_symmetry_Int_Tables_number 1
loop_
_symmetry_equiv_pos_as_xyz
'x,y,z'
loop_
_atom_site_label
_atom_site_type_symbol
_atom_site_fract_x
_atom_site_fract_y
_atom_site_fract_z
Y1 Y 0.500 0.500 0.000
Th1 Th 0.000 0.500 0.500
Pa1 Pa 0.000 0.000 0.000
Pa2 Pa 0.500 0.000 0.500
As1 As 0.000 0.756 0.752
As2 As 0.000 0.244 0.248
As3 As 0.500 0.759 0.242
As4 As 0.500 0.241 0.758
# Symmetry: P2/m, No. 10
# Calculated formation energy, kJ per mole of atoms: -120
# DOS at the Fermi energy, states/eV/f.u.: 8.11

=====

# SrLiSe2 (PBE, relaxed)
data_SrLiSe2
_chemical_formula_sum 'Sr1 Li1 Se2'
_cell_length_a 5.013
_cell_length_b 4.211
_cell_length_c 5.013
_cell_angle_alpha 90.00
_cell_angle_beta 89.99
_cell_angle_gamma 90.00
_symmetry_space_group_name_H-M 'P 1'
_symmetry_Int_Tables_number 1
loop_
_symmetry_equiv_pos_as_xyz
'x,y,z'
loop_
_atom_site_label
_atom_site_type_symbol
_atom_site_fract_x
_atom_site_fract_y
_atom_site_fract_z
Li1 Li 0.500 0.000 0.875
Se1 Se 0.000 0.000 0.875
Se2 Se 0.500 0.000 0.375
Sr1 Sr 0.000 0.500 0.375
# Symmetry: P4/mmm, No. 123
# Formation energy from raw total energies, eV/atom: -1.28
# DOS at the Fermi energy, states/eV/f.u.: 2.71

=====

# DyEr2Sc (PBE, relaxed)
data_DyEr2Sc
_chemical_formula_sum 'Dy1 Er2 Sc1'
_cell_length_a 5.508
_cell_length_b 5.508
_cell_length_c 5.508
_cell_angle_alpha 60.00
_cell_angle_beta 60.00
_cell_angle_gamma 60.00
_symmetry_space_group_name_H-M 'P 1'
_symmetry_Int_Tables_number 1
loop_
_symmetry_equiv_pos_as_xyz
'x,y,z'
loop_
_atom_site_label
_atom_site_type_symbol
_atom_site_fract_x
_atom_site_fract_y
_atom_site_fract_z
Sc1 Sc 0.500 0.500 0.500
Dy1 Dy 0.000 0.000 0.000
Er1 Er 0.250 0.250 0.250
Er2 Er 0.750 0.750 0.750
# Excess energy over the best structure of this formula in the dataset, meV per atom: 126
# Symmetry: Fm-3m, No. 225
# Calculated formation energy, kJ per mole of atoms: 14
# DOS at the Fermi energy, states/eV/f.u.: 9.75

=====

# Pu3Hf2TaN6 (PBE, relaxed)
data_Pu3Hf2TaN6
_chemical_formula_sum 'Pu3 Hf2 Ta1 N6'
_cell_length_a 5.681
_cell_length_b 5.681
_cell_length_c 5.855
_cell_angle_alpha 99.29
_cell_angle_beta 99.29
_cell_angle_gamma 120.03
_symmetry_space_group_name_H-M 'P 1'
_symmetry_Int_Tables_number 1
loop_
_symmetry_equiv_pos_as_xyz
'x,y,z'
loop_
_atom_site_label
_atom_site_type_symbol
_atom_site_fract_x
_atom_site_fract_y
_atom_site_fract_z
Pu1 Pu 0.166 0.834 0.500
Pu2 Pu 0.834 0.166 0.500
Pu3 Pu 0.500 0.500 0.500
Hf1 Hf 0.333 0.667 0.000
Hf2 Hf 0.667 0.333 0.000
Ta1 Ta 0.000 0.000 0.000
N1 N 0.927 0.597 0.780
N2 N 0.744 0.744 0.220
N3 N 0.073 0.403 0.220
N4 N 0.597 0.927 0.780
N5 N 0.256 0.256 0.780
N6 N 0.403 0.073 0.220
# Symmetry: C2/m, No. 12
# Formation energy from raw total energies, eV/atom: -1.47
# DOS at the Fermi energy, states/eV/f.u.: 20.10

=====

# CaNpB2O8 (PBE, relaxed)
data_CaNpB2O8
_chemical_formula_sum 'Ca1 Np1 B2 O8'
_cell_length_a 5.522
_cell_length_b 5.522
_cell_length_c 5.522
_cell_angle_alpha 105.77
_cell_angle_beta 105.77
_cell_angle_gamma 117.17
_symmetry_space_group_name_H-M 'P 1'
_symmetry_Int_Tables_number 1
loop_
_symmetry_equiv_pos_as_xyz
'x,y,z'
loop_
_atom_site_label
_atom_site_type_symbol
_atom_site_fract_x
_atom_site_fract_y
_atom_site_fract_z
Ca1 Ca 0.000 0.000 0.000
Np1 Np 0.250 0.750 0.500
B1 B 0.750 0.250 0.500
B2 B 0.500 0.500 0.000
O1 O 0.419 0.086 0.333
O2 O 0.351 0.536 0.184
O3 O 0.351 0.167 0.816
O4 O 0.754 0.086 0.667
O5 O 0.833 0.649 0.184
O6 O 0.914 0.246 0.333
O7 O 0.914 0.581 0.667
O8 O 0.464 0.649 0.816
# Symmetry: I-4m2, No. 119
# Formation energy from raw total energies, eV/atom: -2.24
# DOS at the Fermi energy, states/eV/f.u.: 5.92

=====

# Ta2SbMo (PBE, relaxed)
data_Ta2SbMo
_chemical_formula_sum 'Ta2 Sb1 Mo1'
_cell_length_a 8.879
_cell_length_b 8.879
_cell_length_c 8.879
_cell_angle_alpha 20.69
_cell_angle_beta 20.69
_cell_angle_gamma 20.69
_symmetry_space_group_name_H-M 'P 1'
_symmetry_Int_Tables_number 1
loop_
_symmetry_equiv_pos_as_xyz
'x,y,z'
loop_
_atom_site_label
_atom_site_type_symbol
_atom_site_fract_x
_atom_site_fract_y
_atom_site_fract_z
Mo1 Mo 0.504 0.504 0.504
Sb1 Sb 0.753 0.753 0.753
Ta1 Ta 0.997 0.997 0.997
Ta2 Ta 0.246 0.246 0.246
# Symmetry: R3m, No. 160
# Formation energy from raw total energies, eV/atom: 0.30
# DOS at the Fermi energy, states/eV/f.u.: 4.59

=====

# TbPd12Au7 (PBE, relaxed)
data_TbPd12Au7
_chemical_formula_sum 'Tb1 Pd12 Au7'
_cell_length_a 7.488
_cell_length_b 7.488
_cell_length_c 7.488
_cell_angle_alpha 107.27
_cell_angle_beta 107.27
_cell_angle_gamma 107.27
_symmetry_space_group_name_H-M 'P 1'
_symmetry_Int_Tables_number 1
loop_
_symmetry_equiv_pos_as_xyz
'x,y,z'
loop_
_atom_site_label
_atom_site_type_symbol
_atom_site_fract_x
_atom_site_fract_y
_atom_site_fract_z
Tb1 Tb 0.000 0.000 0.000
Pd1 Pd 0.862 0.161 0.727
Pd2 Pd 0.839 0.273 0.138
Pd3 Pd 0.478 0.174 0.594
Pd4 Pd 0.826 0.406 0.522
Pd5 Pd 0.273 0.138 0.839
Pd6 Pd 0.406 0.522 0.826
Pd7 Pd 0.594 0.478 0.174
Pd8 Pd 0.727 0.862 0.161
Pd9 Pd 0.174 0.594 0.478
Pd10 Pd 0.522 0.826 0.406
Pd11 Pd 0.161 0.727 0.862
Pd12 Pd 0.138 0.839 0.273
Au1 Au 0.804 0.528 0.917
Au2 Au 0.472 0.083 0.196
Au3 Au 0.083 0.196 0.472
Au4 Au 0.500 0.500 0.500
Au5 Au 0.917 0.804 0.528
Au6 Au 0.528 0.917 0.804
Au7 Au 0.196 0.472 0.083
# Symmetry: R-3, No. 148
# Calculated formation energy, kJ per mole of atoms: -15
# DOS at the Fermi energy, states/eV/f.u.: 14.23

=====

# CsLi2NpCl6 (PBE, relaxed)
data_CsLi2NpCl6
_chemical_formula_sum 'Cs2 Li4 Np2 Cl12'
_cell_length_a 8.360
_cell_length_b 9.375
_cell_length_c 9.375
_cell_angle_alpha 89.69
_cell_angle_beta 74.85
_cell_angle_gamma 74.85
_symmetry_space_group_name_H-M 'P 1'
_symmetry_Int_Tables_number 1
loop_
_symmetry_equiv_pos_as_xyz
'x,y,z'
loop_
_atom_site_label
_atom_site_type_symbol
_atom_site_fract_x
_atom_site_fract_y
_atom_site_fract_z
Cs1 Cs 0.250 0.907 0.093
Cs2 Cs 0.750 0.093 0.907
Li1 Li 0.374 0.762 0.626
Li2 Li 0.126 0.374 0.238
Li3 Li 0.626 0.238 0.374
Li4 Li 0.874 0.626 0.762
Np1 Np 0.250 0.292 0.708
Np2 Np 0.750 0.708 0.292
Cl1 Cl 0.215 0.005 0.741
Cl2 Cl 0.285 0.259 0.995
Cl3 Cl 0.785 0.995 0.259
Cl4 Cl 0.715 0.741 0.005
Cl5 Cl 0.405 0.761 0.373
Cl6 Cl 0.095 0.627 0.239
Cl7 Cl 0.595 0.239 0.627
Cl8 Cl 0.905 0.373 0.761
Cl9 Cl 0.187 0.601 0.729
Cl10 Cl 0.313 0.271 0.399
Cl11 Cl 0.813 0.399 0.271
Cl12 Cl 0.687 0.729 0.601
# Symmetry: C2/c, No. 15
# Formation energy from raw total energies, eV/atom: -1.80
# DOS at the Fermi energy, states/eV/f.u.: 7.23

=====

# CaLaSmAg (PBE, relaxed)
data_CaLaSmAg
_chemical_formula_sum 'Ca1 La1 Sm1 Ag1'
_cell_length_a 3.715
_cell_length_b 3.715
_cell_length_c 9.174
_cell_angle_alpha 90.00
_cell_angle_beta 90.00
_cell_angle_gamma 90.00
_symmetry_space_group_name_H-M 'P 1'
_symmetry_Int_Tables_number 1
loop_
_symmetry_equiv_pos_as_xyz
'x,y,z'
loop_
_atom_site_label
_atom_site_type_symbol
_atom_site_fract_x
_atom_site_fract_y
_atom_site_fract_z
Ca1 Ca 0.500 0.500 0.766
La1 La 0.000 0.000 0.090
Sm1 Sm 0.500 0.500 0.366
Ag1 Ag 0.000 0.000 0.562
# Symmetry: P4mm, No. 99
# Calculated formation energy, kJ per mole of atoms: -12
# DOS at the Fermi energy, states/eV/f.u.: 5.30

=====

# SrLi2Al6 (PBE, relaxed)
data_SrLi2Al6
_chemical_formula_sum 'Sr1 Li2 Al6'
_cell_length_a 4.305
_cell_length_b 7.525
_cell_length_c 7.525
_cell_angle_alpha 59.24
_cell_angle_beta 73.38
_cell_angle_gamma 73.38
_symmetry_space_group_name_H-M 'P 1'
_symmetry_Int_Tables_number 1
loop_
_symmetry_equiv_pos_as_xyz
'x,y,z'
loop_
_atom_site_label
_atom_site_type_symbol
_atom_site_fract_x
_atom_site_fract_y
_atom_site_fract_z
Sr1 Sr 0.000 0.000 0.000
Li1 Li 0.882 0.618 0.618
Li2 Li 0.118 0.382 0.382
Al1 Al 0.694 0.994 0.617
Al2 Al 0.306 0.006 0.383
Al3 Al 0.306 0.383 0.006
Al4 Al 0.500 0.668 0.332
Al5 Al 0.500 0.332 0.668
Al6 Al 0.694 0.617 0.994
# Symmetry: Immm, No. 71
# Calculated formation energy, kJ per mole of atoms: -3
# DOS at the Fermi energy, states/eV/f.u.: 3.05

=====

# Mg3GaCu8 (PBE, relaxed)
data_Mg3GaCu8
_chemical_formula_sum 'Mg3 Ga1 Cu8'
_cell_length_a 4.974
_cell_length_b 4.974
_cell_length_c 8.497
_cell_angle_alpha 72.98
_cell_angle_beta 72.98
_cell_angle_gamma 60.00
_symmetry_space_group_name_H-M 'P 1'
_symmetry_Int_Tables_number 1
loop_
_symmetry_equiv_pos_as_xyz
'x,y,z'
loop_
_atom_site_label
_atom_site_type_symbol
_atom_site_fract_x
_atom_site_fract_y
_atom_site_fract_z
Mg1 Mg 0.375 0.375 0.875
Mg2 Mg 0.997 0.997 0.008
Mg3 Mg 0.502 0.502 0.494
Ga1 Ga 0.875 0.875 0.376
Cu1 Cu 0.937 0.437 0.188
Cu2 Cu 0.438 0.938 0.686
Cu3 Cu 0.437 0.437 0.188
Cu4 Cu 0.938 0.938 0.686
Cu5 Cu 0.188 0.188 0.437
Cu6 Cu 0.688 0.688 0.937
Cu7 Cu 0.437 0.937 0.188
Cu8 Cu 0.938 0.438 0.686
# Symmetry: R3m, No. 160
# Calculated formation energy, kJ per mole of atoms: -12
# DOS at the Fermi energy, states/eV/f.u.: 4.67

=====

# NdDyAlNi (PBE, relaxed)
data_NdDyAlNi
_chemical_formula_sum 'Nd1 Dy1 Al1 Ni1'
_cell_length_a 5.062
_cell_length_b 5.062
_cell_length_c 5.062
_cell_angle_alpha 60.00
_cell_angle_beta 60.00
_cell_angle_gamma 60.00
_symmetry_space_group_name_H-M 'P 1'
_symmetry_Int_Tables_number 1
loop_
_symmetry_equiv_pos_as_xyz
'x,y,z'
loop_
_atom_site_label
_atom_site_type_symbol
_atom_site_fract_x
_atom_site_fract_y
_atom_site_fract_z
Ni1 Ni 0.250 0.250 0.250
Nd1 Nd 0.500 0.500 0.500
Al1 Al 0.750 0.750 0.750
Dy1 Dy 0.000 0.000 0.000
# Symmetry: F-43m, No. 216
# Calculated formation energy, kJ per mole of atoms: -24
# DOS at the Fermi energy, states/eV/f.u.: 3.72